# 1
SbHI2O | the Alexandria database | PBE | relaxed; offset from the most stable computed form = 270 meV/atom; M_tot = 0.0 μB/f.u.
1.0
-5.544 -1.855 -2.290
2.589 -0.735 -5.672
0.652 -2.756 0.654
I Sb O H
2 1 1 1
direct
0.000 0.500 0.000
0.500 0.000 0.000
0.500 0.500 0.500
0.000 0.000 0.500
0.000 0.000 0.000

***

# 2
SbHI2O | the Alexandria database | PBE | relaxed; offset from the most stable computed form = 0 meV/atom; M_tot = 1.0 μB/f.u.
1.0
6.114 0.000 0.000
0.000 6.114 0.000
0.000 0.000 4.029
I Sb O H
2 1 1 1
direct
0.000 0.500 0.000
0.500 0.000 0.000
0.000 0.000 0.000
0.000 0.000 0.500
0.500 0.500 0.500

***

# 3
SbHI2O | the Alexandria database | PBE | relaxed; offset from the most stable computed form = 565 meV/atom; M_tot = 2.1 μB/f.u.
1.0
5.508 0.000 0.000
0.000 5.508 0.000
0.000 0.000 3.878
I Sb O H
2 1 1 1
direct
0.000 0.500 0.000
0.500 0.000 0.000
0.000 0.000 0.500
0.500 0.500 0.500
0.000 0.000 0.000

***

# 4
SbHI2O | the Alexandria database | PBE | relaxed; offset from the most stable computed form = 412 meV/atom; M_tot = 2.0 μB/f.u.
1.0
-5.007 1.165 2.624
-2.801 -3.141 -3.950
0.464 -3.457 2.421
I Sb O H
2 1 1 1
direct
0.000 0.500 0.000
0.500 0.000 0.000
0.000 0.000 0.500
0.000 0.000 0.000
0.500 0.500 0.500